No. 1
# PrEu2Ho, relaxed, DFT PBE-GGA
# Crystal system: tetragonal
# Formation energy, meV/atom: 102
# E_tot, eV for the cell shown: -29.50
# V, Å³/atom: 36.47
# Energy above the most stable polymorph in this dataset, eV per atom: 0.012
data_PrEu2Ho
_cell_length_a 3.6912
_cell_length_b 3.6912
_cell_length_c 10.7070
_cell_angle_alpha 90.00
_cell_angle_beta 90.00
_cell_angle_gamma 90.00
_space_group_name_H-M_alt 'P 4/m m m'
_space_group_IT_number 123
_space_group_name_Hall '-P 4 2'
loop_
_atom_site_label
_atom_site_type_symbol
_atom_site_fract_x
_atom_site_fract_y
_atom_site_fract_z
Pr1 Pr 0.0000 0.0000 0.0000
Eu1 Eu 0.5000 0.5000 0.2564
Ho1 Ho 0.0000 0.0000 0.5000

=====

No. 2
# Ba2SmF6, relaxed, DFT PBE-GGA
# Crystal system: orthorhombic
# E_tot, eV for the cell shown: -106.46
# V, Å³/atom: 18.59
# Formation energy from raw total energies, meV/atom: -3715
data_Ba2SmF6
_cell_length_a 4.1276
_cell_length_b 6.4235
_cell_length_c 12.6205
_cell_angle_alpha 90.00
_cell_angle_beta 90.00
_cell_angle_gamma 90.00
_space_group_name_H-M_alt 'I m m m'
_space_group_IT_number 71
_space_group_name_Hall '-I 2 2'
loop_
_atom_site_label
_atom_site_type_symbol
_atom_site_fract_x
_atom_site_fract_y
_atom_site_fract_z
Ba1 Ba 0.0000 0.0000 0.1539
Sm1 Sm 0.0000 0.0000 0.5000
F1 F 0.0000 0.2099 0.3419
F2 F 0.0000 0.3066 0.0000

=====

No. 3
# Nd2ErInN, relaxed, DFT PBE-GGA
# Crystal system: tetragonal
# E_tot, eV for the cell shown: -29.67
# V, Å³/atom: 24.31
# Formation energy from raw total energies, meV/atom: -901
data_Nd2ErInN
_cell_length_a 5.0523
_cell_length_b 5.0523
_cell_length_c 4.7619
_cell_angle_alpha 90.00
_cell_angle_beta 90.00
_cell_angle_gamma 90.00
_space_group_name_H-M_alt 'P 4/m m m'
_space_group_IT_number 123
_space_group_name_Hall '-P 4 2'
loop_
_atom_site_label
_atom_site_type_symbol
_atom_site_fract_x
_atom_site_fract_y
_atom_site_fract_z
Nd1 Nd 0.0000 0.5000 0.0000
Er1 Er 0.0000 0.0000 0.5000
In1 In 0.5000 0.5000 0.5000
N1 N 0.0000 0.0000 0.0000

=====

No. 4
# Nd3CuGe, relaxed, DFT PBE-GGA
# Crystal system: triclinic
# Formation energy, meV/atom: -359
# E_tot, eV for the cell shown: -49.62
# V, Å³/atom: 26.93
data_Nd3CuGe
_cell_length_a 4.3480
_cell_length_b 7.5200
_cell_length_c 8.6059
_cell_angle_alpha 88.76
_cell_angle_beta 90.00
_cell_angle_gamma 73.20
_space_group_name_H-M_alt 'P 1'
_space_group_IT_number 1
loop_
_space_group_symop_operation_xyz
'x,y,z'
loop_
_atom_site_label
_atom_site_type_symbol
_atom_site_fract_x
_atom_site_fract_y
_atom_site_fract_z
Nd1 Nd 0.0000 0.0000 0.0000
Nd2 Nd 0.1066 0.7870 0.6105
Nd3 Nd 0.2897 0.4210 0.9856
Nd4 Nd 0.4531 0.0956 0.3852
Nd5 Nd 0.6528 0.6919 0.2254
Nd6 Nd 0.8168 0.3662 0.6246
Cu1 Cu 0.2618 0.4750 0.3596
Cu2 Cu 0.8437 0.3123 0.2498
Ge1 Ge 0.4608 0.0788 0.7462
Ge2 Ge 0.6460 0.7084 0.8645